A plane-wave DFT calculation with PBE was carried out for crystalline VMoPt14 at its relaxed geometry. Values from VASP.

Results
The value obtained for the formation energy is -0.24 eV per atom. As for the symmetry: P4/mmm, No. 123. The raw total energy comes out at -0.24871 Ha/atom.

Quantum ESPRESSO input file:
```
&SYSTEM
  ibrav = 0, nat = 16, ntyp = 3
/
ATOMIC_SPECIES
Pt 195.08 Pt.upf
V 50.94 V.upf
Mo 95.94 Mo.upf
ATOMIC_POSITIONS crystal
Pt 0.126 0.126 0.259
Pt 0.875 0.875 0.000
Pt 0.875 0.375 0.000
Pt 0.375 0.875 0.000
Pt 0.126 0.624 0.741
Pt 0.375 0.375 0.000
Pt 0.624 0.624 0.741
Pt 0.375 0.875 0.500
Pt 0.624 0.126 0.259
Pt 0.875 0.375 0.500
Pt 0.126 0.624 0.259
Pt 0.624 0.624 0.259
Pt 0.624 0.126 0.741
Pt 0.126 0.126 0.741
V 0.375 0.375 0.500
Mo 0.875 0.875 0.500
CELL_PARAMETERS angstrom
5.604 -0.012 0.000
0.012 5.604 0.000
0.000 0.000 7.869
```